# 1
10
Lattice="7.6072 0.0000 0.0000 0.0000 7.6072 0.0000 0.0000 0.0000 2.9486" Properties=species:S:1:pos:R:3 comment="CaGe2Ir2 (PBE, relaxed)" n_ef_per_ev_cell=9.6 spacegroup=P4/mbm rho_g_cm3=11.1 e_form_ev_per_atom=-0.255 pbc="T T T"
Ca 0.0000 0.0000 0.0000
Ca 3.8036 3.8036 0.0000
Ge 1.1910 2.6126 1.4743
Ge 2.6126 6.4162 1.4743
Ge 4.9946 1.1910 1.4743
Ge 6.4162 4.9946 1.4743
Ir 1.0333 4.8369 0.0000
Ir 2.7703 1.0333 0.0000
Ir 4.8369 6.5739 0.0000
Ir 6.5739 2.7703 0.0000



# 2
12
Lattice="2.7219 1.5715 8.9071 -2.7219 1.5715 8.9071 0.0000 -3.1429 8.9071" Properties=species:S:1:pos:R:3 comment="Sr3PuRh8 (PBE, relaxed)" n_ef_per_ev_cell=18.1 spacegroup=R3m rho_g_cm3=9.7 e_form_ev_per_atom=-0.310 pbc="T T T"
Sr 0.0000 0.0000 0.0000
Sr 0.0000 0.0000 3.3183
Sr 0.0000 0.0000 16.7561
Pu 0.0000 0.0000 13.3875
Rh 0.0000 -1.5484 6.0705
Rh -1.3410 0.7742 6.0705
Rh -1.3390 -0.7731 10.6735
Rh 0.0000 0.0000 8.3719
Rh 1.3410 0.7742 6.0705
Rh 1.3390 -0.7731 10.6735
Rh 0.0000 1.5461 10.6735
Rh 0.0000 0.0000 21.7349



# 3
5
Lattice="6.1423 0.0000 0.0000 0.0000 6.1423 0.0000 0.0000 0.0000 6.1423" Properties=species:S:1:pos:R:3 comment="CsBeAl3 (PBE, relaxed)" n_ef_per_ev_cell=9.2 spacegroup=Pm-3m rho_g_cm3=1.6 e_form_ev_per_atom=2.239 pbc="T T T"
Cs 0.0000 0.0000 0.0000
Be 3.0712 3.0712 3.0712
Al 0.0000 0.0000 3.0712
Al 0.0000 3.0712 0.0000
Al 3.0712 0.0000 0.0000